NaPH: relaxed, PBE.

The calculated volume comes out at 16.2 Å³ per atom. The electronic total energy comes out at -3.261 eV per atom. The value obtained for the total moment is 0.00 Bohr magnetons per cell.

a b c (Å): 8.4491 5.0799 4.5160
angles (deg): 90.00 90.00 90.00
Space group Pnma (No. 62)
Inequivalent atoms, fractional coordinates:
Na (0.1802, 0.2500, 0.0160) [4 per cell]
P (0.0000, 0.0000, 0.5000) [4 per cell]
H (0.0617, 0.7500, 0.2635) [4 per cell]

---

TbTm3B4O12: relaxed, PBE.

The calculated volume comes out at 12.2 Å³ per atom. The electronic total energy comes out at -8.317 eV per atom. The value obtained for the total moment is 0.00 Bohr magnetons per cell.

a b c (Å): 10.0454 10.0454 8.3598
angles (deg): 90.00 90.00 120.00
Space group R32 (No. 155, hexagonal axes)
Inequivalent atoms, fractional coordinates:
Tb (0.0000, 0.0000, 0.0000) [3 per cell]
Tm (0.0000, 0.5357, 0.0000) [9 per cell]
B (0.0000, 0.0000, 0.5000) [3 per cell]
B (0.0000, 0.4640, 0.5000) [9 per cell]
O (0.0000, 0.6009, 0.5000) [9 per cell]
O (0.0000, 0.8629, 0.5000) [9 per cell]
O (0.0050, 0.1968, 0.1694) [18 per cell]

---

BaTc2Ag: relaxed, PBE.

The formation energy comes out at 0.93 eV/atom. The calculated volume comes out at 23.8 Å³ per atom. The electronic total energy comes out at -5.442 eV per atom. The value obtained for the total moment is 0.00 Bohr magnetons per cell.

a b c (Å): 3.6244 3.6244 7.2599
angles (deg): 90.00 90.00 90.00
Space group P4/mmm (No. 123)
Inequivalent atoms, fractional coordinates:
Ba (0.0000, 0.0000, 0.0000) [1 per cell]
Tc (0.5000, 0.5000, 0.3493) [2 per cell]
Ag (0.0000, 0.0000, 0.5000) [1 per cell]

---

Hf5Pa2H12: relaxed, PBE.

The calculated volume comes out at 10.1 Å³ per atom. The electronic total energy comes out at -6.012 eV per atom. The value obtained for the total moment is 0.00 Bohr magnetons per cell.

a b c (Å): 10.6858 6.1895 5.9897
angles (deg): 90.00 105.32 90.00
Space group C2/m (No. 12)
Inequivalent atoms, fractional coordinates:
Hf (0.0000, 0.0000, 0.0000) [2 per cell]
Hf (0.1804, 0.5000, 0.0886) [4 per cell]
Hf (0.2322, 0.0000, 0.3764) [4 per cell]
Pa (0.0000, 0.2606, 0.5000) [4 per cell]
H (0.0059, 0.5000, 0.8118) [4 per cell]
H (0.1047, 0.0000, 0.7573) [4 per cell]
H (0.1047, 0.2251, 0.2136) [8 per cell]
H (0.1909, 0.2958, 0.8131) [8 per cell]

---

BaCa6Mg6: relaxed, PBE.

The formation energy comes out at -0.04 eV/atom. The calculated volume comes out at 34.1 Å³ per atom. The electronic total energy comes out at -1.852 eV per atom. The value obtained for the total moment is 0.00 Bohr magnetons per cell.

a b c (Å): 6.6006 11.5097 11.6817
angles (deg): 90.00 90.00 90.00
Space group Immm (No. 71)
Inequivalent atoms, fractional coordinates:
Ba (0.0000, 0.0000, 0.0000) [2 per cell]
Ca (0.0000, 0.0000, 0.3431) [4 per cell]
Ca (0.0000, 0.3112, 0.5000) [4 per cell]
Ca (0.0000, 0.3479, 0.0000) [4 per cell]
Mg (0.0000, 0.5000, 0.2679) [4 per cell]
Mg (0.2500, 0.2500, 0.2500) [8 per cell]

---

Nd2ZrCo: relaxed, PBE.

The formation energy comes out at 0.46 eV/atom. The calculated volume comes out at 26.3 Å³ per atom. The electronic total energy comes out at -5.837 eV per atom. The value obtained for the total moment is 0.00 Bohr magnetons per cell.

a b c (Å): 3.4415 3.4415 30.7472
angles (deg): 90.00 90.00 120.00
Space group R-3m (No. 166, hexagonal axes)
Inequivalent atoms, fractional coordinates:
Nd (0.0000, 0.0000, 0.1057) [6 per cell]
Zr (0.0000, 0.0000, 0.0000) [3 per cell]
Co (0.0000, 0.0000, 0.5000) [3 per cell]

---

CoSnRh2: relaxed, PBE.

The formation energy comes out at -0.13 eV/atom. The calculated volume comes out at 15.0 Å³ per atom. The electronic total energy comes out at -6.579 eV per atom. The value obtained for the total moment is 2.47 Bohr magnetons per cell.

a b c (Å): 4.0643 4.0643 3.6320
angles (deg): 90.00 90.00 90.00
Space group P4/mmm (No. 123)
Inequivalent atoms, fractional coordinates:
Co (0.0000, 0.0000, 0.0000) [1 per cell]
Sn (0.5000, 0.5000, 0.0000) [1 per cell]
Rh (0.0000, 0.5000, 0.5000) [2 per cell]